Record 1
A plane-wave DFT calculation with PBE was carried out for crystalline PuNiMo at its relaxed geometry.

## Properties
Calculated volume = 46.2 Å³/f.u.
Size of the total moment = 0.60 Bohr magnetons per cell
E_form = 428 meV/atom
Excess energy over the best structure of this formula in the dataset = 3.92 kcal/mol of atoms
Crystal system = trigonal

```
PuNiMo
1.0
2.431 0.000 0.000
0.000 4.686 0.000
0.000 -2.343 4.059
Mo Ni Pu
1 1 1
direct
0.832 0.000 0.000
0.835 0.333 0.667
0.333 0.667 0.333
```

Record 2
A plane-wave DFT calculation with PBE was carried out for crystalline NdSm4Y3 at its relaxed geometry.

## Properties
Calculated volume = 270.5 Å³/f.u.
Size of the total moment = 0.00 Bohr magnetons per cell
E_form = 20 meV/atom
Excess energy over the best structure of this formula in the dataset = 0.00 kcal/mol of atoms
Crystal system = orthorhombic

```
NdSm4Y3
1.0
6.357 0.000 0.000
0.000 7.360 0.000
0.000 0.000 11.565
Sm Y Nd
8 6 2
direct
0.148 0.874 0.000
0.152 0.875 0.500
0.648 0.126 0.500
0.481 0.875 0.248
0.652 0.125 0.000
0.481 0.875 0.752
0.981 0.125 0.748
0.981 0.125 0.252
0.146 0.376 0.500
0.481 0.376 0.250
0.981 0.624 0.250
0.481 0.376 0.750
0.981 0.624 0.750
0.646 0.624 0.000
0.146 0.374 0.000
0.646 0.626 0.500
```

Record 3
A plane-wave DFT calculation with PBE was carried out for crystalline TbInSb2 at its relaxed geometry.

## Properties
Calculated volume = 106.4 Å³/f.u.
Size of the total moment = 0.00 Bohr magnetons per cell
Excess energy over the best structure of this formula in the dataset = 0.00 kcal/mol of atoms
Formation energy (no corrections) = -1.82 eV/f.u.
Crystal system = tetragonal

```
TbInSb2
1.0
4.188 0.000 0.000
0.000 5.040 0.000
0.000 0.000 5.040
Sb In Tb
2 1 1
direct
0.000 0.000 0.500
0.000 0.500 0.000
0.500 0.000 0.000
0.500 0.500 0.500
```

Record 4
A plane-wave DFT calculation with PBE was carried out for crystalline NaSnI3 at its relaxed geometry.

## Properties
Calculated volume = 239.8 Å³/f.u.
Size of the total moment = 0.00 Bohr magnetons per cell
Formation energy (no corrections) = -3.09 eV/f.u.
Crystal system = cubic

```
NaSnI3
1.0
-5.497 -0.374 2.872
0.183 -6.193 -0.456
2.890 -0.319 5.491
Sn I Na
1 3 1
direct
0.000 0.000 0.000
0.500 0.000 0.000
0.000 0.000 0.500
0.000 0.500 0.000
0.500 0.500 0.500
```